# TaAg2P GGA-PBE optimized geometry
# E_tot, eV/atom: -5.365
# V, Å³ per cell: 138.4
# Calculated formation energy, eV per atom: 0.376
data_TaAg2P
_chemical_formula_sum 'Ta2 Ag4 P2'
_cell_length_a 3.462
_cell_length_b 4.373
_cell_length_c 9.142
_cell_angle_alpha 90.00
_cell_angle_beta 90.00
_cell_angle_gamma 90.00
_space_group_name_H-M_alt 'C m m m'
_space_group_IT_number 65
_space_group_name_Hall '-C 2 2'
loop_
_atom_site_label
_atom_site_type_symbol
_atom_site_fract_x
_atom_site_fract_y
_atom_site_fract_z
_atom_site_occupancy
Ta1 Ta 0.000 0.000 0.000 1
Ag1 Ag 0.000 0.500 0.257 1
P1 P 0.000 0.000 0.500 1

---

# TaAgP GGA-PBE optimized geometry
# E_tot, eV/atom: -6.582
# V, Å³ per cell: 210.1
# Calculated formation energy, eV per atom: 0.122
# Polymorph energy (0 for the lowest one), eV per atom: 0.128
data_TaAgP
_chemical_formula_sum 'Ta4 Ag4 P4'
_cell_length_a 3.538
_cell_length_b 4.745
_cell_length_c 12.518
_cell_angle_alpha 90.00
_cell_angle_beta 90.00
_cell_angle_gamma 90.00
_space_group_name_H-M_alt 'F m m 2'
_space_group_IT_number 42
_space_group_name_Hall 'F 2 -2'
loop_
_atom_site_label
_atom_site_type_symbol
_atom_site_fract_x
_atom_site_fract_y
_atom_site_fract_z
_atom_site_occupancy
Ta1 Ta 0.000 0.000 0.000 1
Ag1 Ag 0.000 0.000 0.317 1
P1 P 0.000 0.000 0.636 1

---

# TaAgP3 GGA-PBE optimized geometry
# E_tot, eV/atom: -5.716
# V, Å³ per cell: 111.6
# Calculated formation energy, eV per atom: 0.470
# Polymorph energy (0 for the lowest one), eV per atom: 0.000
data_TaAgP3
_chemical_formula_sum 'Ta1 Ag1 P3'
_cell_length_a 4.815
_cell_length_b 4.815
_cell_length_c 4.815
_cell_angle_alpha 90.00
_cell_angle_beta 90.00
_cell_angle_gamma 90.00
_space_group_name_H-M_alt 'P m -3 m'
_space_group_IT_number 221
_space_group_name_Hall '-P 4 2 3'
loop_
_atom_site_label
_atom_site_type_symbol
_atom_site_fract_x
_atom_site_fract_y
_atom_site_fract_z
_atom_site_occupancy
Ta1 Ta 0.000 0.000 0.000 1
Ag1 Ag 0.500 0.500 0.500 1
P1 P 0.000 0.000 0.500 1

---

# TaAg2P GGA-PBE optimized geometry
# E_tot, eV/atom: -5.377
# V, Å³ per cell: 69.0
# Calculated formation energy, eV per atom: 0.364
data_TaAg2P
_chemical_formula_sum 'Ta1 Ag2 P1'
_cell_length_a 2.898
_cell_length_b 4.495
_cell_length_c 5.296
_cell_angle_alpha 90.00
_cell_angle_beta 90.00
_cell_angle_gamma 90.00
_space_group_name_H-M_alt 'P m m m'
_space_group_IT_number 47
loop_
_space_group_symop_operation_xyz
'x,y,z'
'-x,-y,-z'
'-x,-y,z'
'x,y,-z'
'x,-y,-z'
'-x,y,z'
'-x,y,-z'
'x,-y,z'
loop_
_atom_site_label
_atom_site_type_symbol
_atom_site_fract_x
_atom_site_fract_y
_atom_site_fract_z
_atom_site_occupancy
Ta1 Ta 0.000 0.000 0.000 1
Ag1 Ag 0.500 0.500 0.248 1
P1 P 0.000 0.000 0.500 1

---

# Ta3AgP GGA-PBE optimized geometry
# E_tot, eV/atom: -6.629
# V, Å³ per cell: 116.1
# Calculated formation energy, eV per atom: 2.135
# Polymorph energy (0 for the lowest one), eV per atom: 1.651
data_Ta3AgP
_chemical_formula_sum 'Ta3 Ag1 P1'
_cell_length_a 4.878
_cell_length_b 4.878
_cell_length_c 4.878
_cell_angle_alpha 90.00
_cell_angle_beta 90.00
_cell_angle_gamma 90.00
_space_group_name_H-M_alt 'P m -3 m'
_space_group_IT_number 221
_space_group_name_Hall '-P 4 2 3'
loop_
_atom_site_label
_atom_site_type_symbol
_atom_site_fract_x
_atom_site_fract_y
_atom_site_fract_z
_atom_site_occupancy
Ta1 Ta 0.000 0.000 0.500 1
Ag1 Ag 0.000 0.000 0.000 1
P1 P 0.500 0.500 0.500 1

---

# TaAg2TeP GGA-PBE optimized geometry
# Raw formation energy, kJ/mol of atoms: 40.5
# E_tot, eV/atom: -4.801
# V, Å³ per cell: 111.4
data_TaAg2TeP
_chemical_formula_sum 'Ta1 Ag2 Te1 P1'
_cell_length_a 4.791
_cell_length_b 4.791
_cell_length_c 4.854
_cell_angle_alpha 90.00
_cell_angle_beta 90.00
_cell_angle_gamma 90.00
_space_group_name_H-M_alt 'P 4/m m m'
_space_group_IT_number 123
_space_group_name_Hall '-P 4 2'
loop_
_atom_site_label
_atom_site_type_symbol
_atom_site_fract_x
_atom_site_fract_y
_atom_site_fract_z
_atom_site_occupancy
Ta1 Ta 0.000 0.000 0.000 1
Ag1 Ag 0.000 0.500 0.500 1
Te1 Te 0.500 0.500 0.000 1
P1 P 0.000 0.000 0.500 1

---

# Ta2VAgP GGA-PBE optimized geometry
# E_tot, eV/atom: -7.800
# V, Å³ per cell: 91.9
# Calculated formation energy, eV per atom: 0.417
data_Ta2VAgP
_chemical_formula_sum 'Ta2 V1 Ag1 P1'
_cell_length_a 4.641
_cell_length_b 4.641
_cell_length_c 4.267
_cell_angle_alpha 90.00
_cell_angle_beta 90.00
_cell_angle_gamma 90.00
_space_group_name_H-M_alt 'P 4/m m m'
_space_group_IT_number 123
_space_group_name_Hall '-P 4 2'
loop_
_atom_site_label
_atom_site_type_symbol
_atom_site_fract_x
_atom_site_fract_y
_atom_site_fract_z
_atom_site_occupancy
Ta1 Ta 0.000 0.500 0.000 1
V1 V 0.000 0.000 0.500 1
Ag1 Ag 0.500 0.500 0.500 1
P1 P 0.000 0.000 0.000 1

---

# Tb2AgP GGA-PBE optimized geometry
# E_tot, eV/atom: -5.216
# V, Å³ per cell: 301.4
# Calculated formation energy, eV per atom: -0.836
data_Tb2AgP
_chemical_formula_sum 'Tb6 Ag3 P3'
_cell_length_a 4.0364
_cell_length_b 4.0364
_cell_length_c 21.3593
_cell_angle_alpha 90.00
_cell_angle_beta 90.00
_cell_angle_gamma 120.00
_space_group_name_H-M_alt 'R -3 m'
_space_group_IT_number 166
_space_group_name_Hall '-R 3 2"'
loop_
_atom_site_label
_atom_site_type_symbol
_atom_site_fract_x
_atom_site_fract_y
_atom_site_fract_z
_atom_site_occupancy
Tb1 Tb 0.0000 0.0000 0.2383 1
Ag1 Ag 0.0000 0.0000 0.0000 1
P1 P 0.0000 0.0000 0.5000 1

---

# Tb2AgP GGA-PBE optimized geometry
# E_tot, eV/atom: -5.226
# V, Å³ per cell: 299.3
# Calculated formation energy, eV per atom: -0.845
data_Tb2AgP
_chemical_formula_sum 'Tb6 Ag3 P3'
_cell_length_a 3.9657
_cell_length_b 3.9657
_cell_length_c 21.9751
_cell_angle_alpha 90.00
_cell_angle_beta 90.00
_cell_angle_gamma 120.00
_space_group_name_H-M_alt 'R 3 m'
_space_group_IT_number 160
_space_group_name_Hall 'R 3 -2"'
loop_
_atom_site_label
_atom_site_type_symbol
_atom_site_fract_x
_atom_site_fract_y
_atom_site_fract_z
_atom_site_occupancy
Tb1 Tb 0.0000 0.0000 0.0000 1
Tb2 Tb 0.0000 0.0000 0.1891 1
Ag1 Ag 0.0000 0.0000 0.7613 1
P1 P 0.0000 0.0000 0.5951 1

---

# TcAgP2 GGA-PBE optimized geometry
# E_tot, eV/atom: -5.649
# V, Å³ per cell: 130.6
# Calculated formation energy, eV per atom: 0.360
# Polymorph energy (0 for the lowest one), eV per atom: 0.430
data_TcAgP2
_chemical_formula_sum 'Tc2 Ag2 P4'
_cell_length_a 2.976
_cell_length_b 5.158
_cell_length_c 8.510
_cell_angle_alpha 90.00
_cell_angle_beta 90.00
_cell_angle_gamma 90.00
_space_group_name_H-M_alt 'I m m m'
_space_group_IT_number 71
_space_group_name_Hall '-I 2 2'
loop_
_atom_site_label
_atom_site_type_symbol
_atom_site_fract_x
_atom_site_fract_y
_atom_site_fract_z
_atom_site_occupancy
Tc1 Tc 0.000 0.000 0.000 1
Ag1 Ag 0.000 0.000 0.500 1
P1 P 0.000 0.500 0.283 1

---

# Tc2AgP GGA-PBE optimized geometry
# E_tot, eV/atom: -7.163
# V, Å³ per cell: 177.8
# Calculated formation energy, eV per atom: 0.085
data_Tc2AgP
_chemical_formula_sum 'Tc6 Ag3 P3'
_cell_length_a 2.8440
_cell_length_b 2.8440
_cell_length_c 25.3796
_cell_angle_alpha 90.00
_cell_angle_beta 90.00
_cell_angle_gamma 120.00
_space_group_name_H-M_alt 'R -3 m'
_space_group_IT_number 166
_space_group_name_Hall '-R 3 2"'
loop_
_atom_site_label
_atom_site_type_symbol
_atom_site_fract_x
_atom_site_fract_y
_atom_site_fract_z
_atom_site_occupancy
Tc1 Tc 0.0000 0.0000 0.2374 1
Ag1 Ag 0.0000 0.0000 0.0000 1
P1 P 0.0000 0.0000 0.5000 1

---

# TcAgP2 GGA-PBE optimized geometry
# E_tot, eV/atom: -5.580
# V, Å³ per cell: 135.7
# Calculated formation energy, eV per atom: 0.429
# Polymorph energy (0 for the lowest one), eV per atom: 0.499
data_TcAgP2
_chemical_formula_sum 'Tc2 Ag2 P4'
_cell_length_a 3.012
_cell_length_b 4.696
_cell_length_c 9.591
_cell_angle_alpha 90.00
_cell_angle_beta 90.00
_cell_angle_gamma 90.00
_space_group_name_H-M_alt 'C m m 2'
_space_group_IT_number 35
loop_
_space_group_symop_operation_xyz
'x,y,z'
'-x,-y,z'
'-x,y,z'
'x,-y,z'
'x+1/2,y+1/2,z'
'-x+1/2,-y+1/2,z'
'-x+1/2,y+1/2,z'
'x+1/2,-y+1/2,z'
loop_
_atom_site_label
_atom_site_type_symbol
_atom_site_fract_x
_atom_site_fract_y
_atom_site_fract_z
_atom_site_occupancy
Tc1 Tc 0.000 0.000 0.000 1
Ag1 Ag 0.000 0.500 0.262 1
P1 P 0.000 0.000 0.492 1
P2 P 0.000 0.500 0.819 1

---

# Tc4AgP GGA-PBE optimized geometry
# E_tot, eV/atom: -7.545
# V, Å³ per cell: 387.3
# Calculated formation energy, eV per atom: 0.743
data_Tc4AgP
_chemical_formula_sum 'Tc16 Ag4 P4'
_cell_length_a 7.289
_cell_length_b 7.289
_cell_length_c 7.289
_cell_angle_alpha 90.00
_cell_angle_beta 90.00
_cell_angle_gamma 90.00
_space_group_name_H-M_alt 'F -4 3 m'
_space_group_IT_number 216
_space_group_name_Hall 'F -4 2 3'
loop_
_atom_site_label
_atom_site_type_symbol
_atom_site_fract_x
_atom_site_fract_y
_atom_site_fract_z
_atom_site_occupancy
Tc1 Tc 0.125 0.125 0.125 1
Ag1 Ag 0.250 0.250 0.750 1
P1 P 0.000 0.000 0.500 1

---

# TcAgP2 GGA-PBE optimized geometry
# E_tot, eV/atom: -6.031
# V, Å³ per cell: 130.4
# Calculated formation energy, eV per atom: -0.022
# Polymorph energy (0 for the lowest one), eV per atom: 0.048
data_TcAgP2
_chemical_formula_sum 'Tc2 Ag2 P4'
_cell_length_a 2.920
_cell_length_b 3.533
_cell_length_c 12.640
_cell_angle_alpha 90.00
_cell_angle_beta 90.00
_cell_angle_gamma 90.00
_space_group_name_H-M_alt 'I m m 2'
_space_group_IT_number 44
loop_
_space_group_symop_operation_xyz
'x,y,z'
'-x,-y,z'
'-x,y,z'
'x,-y,z'
'x+1/2,y+1/2,z+1/2'
'-x+1/2,-y+1/2,z+1/2'
'-x+1/2,y+1/2,z+1/2'
'x+1/2,-y+1/2,z+1/2'
loop_
_atom_site_label
_atom_site_type_symbol
_atom_site_fract_x
_atom_site_fract_y
_atom_site_fract_z
_atom_site_occupancy
Tc1 Tc 0.000 0.000 0.000 1
Ag1 Ag 0.000 0.500 0.725 1
P1 P 0.000 0.000 0.567 1
P2 P 0.000 0.500 0.351 1

---

# TcAgP4 GGA-PBE optimized geometry
# E_tot, eV/atom: -5.011
# V, Å³ per cell: 358.0
# Calculated formation energy, eV per atom: 0.799
data_TcAgP4
_chemical_formula_sum 'Tc4 Ag4 P16'
_cell_length_a 7.101
_cell_length_b 7.101
_cell_length_c 7.101
_cell_angle_alpha 90.00
_cell_angle_beta 90.00
_cell_angle_gamma 90.00
_space_group_name_H-M_alt 'F -4 3 m'
_space_group_IT_number 216
_space_group_name_Hall 'F -4 2 3'
loop_
_atom_site_label
_atom_site_type_symbol
_atom_site_fract_x
_atom_site_fract_y
_atom_site_fract_z
_atom_site_occupancy
Tc1 Tc 0.000 0.000 0.000 1
Ag1 Ag 0.250 0.250 0.750 1
P1 P 0.126 0.126 0.374 1

---

# TcAgP2 GGA-PBE optimized geometry
# E_tot, eV/atom: -5.258
# V, Å³ per cell: 242.3
# Calculated formation energy, eV per atom: 0.751
# Polymorph energy (0 for the lowest one), eV per atom: 0.822
data_TcAgP2
_chemical_formula_sum 'Tc4 Ag4 P8'
_cell_length_a 6.234
_cell_length_b 6.234
_cell_length_c 6.234
_cell_angle_alpha 90.00
_cell_angle_beta 90.00
_cell_angle_gamma 90.00
_space_group_name_H-M_alt 'F -4 3 m'
_space_group_IT_number 216
_space_group_name_Hall 'F -4 2 3'
loop_
_atom_site_label
_atom_site_type_symbol
_atom_site_fract_x
_atom_site_fract_y
_atom_site_fract_z
_atom_site_occupancy
Tc1 Tc 0.000 0.000 0.000 1
Ag1 Ag 0.250 0.250 0.750 1
P1 P 0.000 0.000 0.500 1
P2 P 0.250 0.250 0.250 1

---

# TcAgP2 GGA-PBE optimized geometry
# E_tot, eV/atom: -5.780
# V, Å³ per cell: 182.1
# Calculated formation energy, eV per atom: 0.229
# Polymorph energy (0 for the lowest one), eV per atom: 0.299
data_TcAgP2
_chemical_formula_sum 'Tc3 Ag3 P6'
_cell_length_a 3.0310
_cell_length_b 3.0310
_cell_length_c 22.8822
_cell_angle_alpha 90.00
_cell_angle_beta 90.00
_cell_angle_gamma 120.00
_space_group_name_H-M_alt 'R 3 m'
_space_group_IT_number 160
_space_group_name_Hall 'R 3 -2"'
loop_
_atom_site_label
_atom_site_type_symbol
_atom_site_fract_x
_atom_site_fract_y
_atom_site_fract_z
_atom_site_occupancy
Tc1 Tc 0.0000 0.0000 0.0000 1
Ag1 Ag 0.0000 0.0000 0.7711 1
P1 P 0.0000 0.0000 0.2636 1
P2 P 0.0000 0.0000 0.5262 1

---

# Tc2AgP GGA-PBE optimized geometry
# E_tot, eV/atom: -7.115
# V, Å³ per cell: 183.9
# Calculated formation energy, eV per atom: 0.133
data_Tc2AgP
_chemical_formula_sum 'Tc6 Ag3 P3'
_cell_length_a 2.8301
_cell_length_b 2.8301
_cell_length_c 26.5176
_cell_angle_alpha 90.00
_cell_angle_beta 90.00
_cell_angle_gamma 120.00
_space_group_name_H-M_alt 'R 3 m'
_space_group_IT_number 160
_space_group_name_Hall 'R 3 -2"'
loop_
_atom_site_label
_atom_site_type_symbol
_atom_site_fract_x
_atom_site_fract_y
_atom_site_fract_z
_atom_site_occupancy
Tc1 Tc 0.0000 0.0000 0.0000 1
Tc2 Tc 0.0000 0.0000 0.2527 1
Ag1 Ag 0.0000 0.0000 0.7589 1
P1 P 0.0000 0.0000 0.5176 1

---

# Tc2AgP GGA-PBE optimized geometry
# E_tot, eV/atom: -6.966
# V, Å³ per cell: 117.1
# Calculated formation energy, eV per atom: 0.283
data_Tc2AgP
_chemical_formula_sum 'Tc4 Ag2 P2'
_cell_length_a 3.005
_cell_length_b 4.312
_cell_length_c 9.035
_cell_angle_alpha 90.00
_cell_angle_beta 90.00
_cell_angle_gamma 90.00
_space_group_name_H-M_alt 'I m m 2'
_space_group_IT_number 44
loop_
_space_group_symop_operation_xyz
'x,y,z'
'-x,-y,z'
'-x,y,z'
'x,-y,z'
'x+1/2,y+1/2,z+1/2'
'-x+1/2,-y+1/2,z+1/2'
'-x+1/2,y+1/2,z+1/2'
'x+1/2,-y+1/2,z+1/2'
loop_
_atom_site_label
_atom_site_type_symbol
_atom_site_fract_x
_atom_site_fract_y
_atom_site_fract_z
_atom_site_occupancy
Tc1 Tc 0.000 0.000 0.000 1
Tc2 Tc 0.000 0.500 0.231 1
Ag1 Ag 0.000 0.000 0.445 1
P1 P 0.000 0.500 0.700 1

---

# Tc2AgP GGA-PBE optimized geometry
# E_tot, eV/atom: -6.797
# V, Å³ per cell: 116.7
# Calculated formation energy, eV per atom: 0.451
data_Tc2AgP
_chemical_formula_sum 'Tc4 Ag2 P2'
_cell_length_a 3.886
_cell_length_b 3.886
_cell_length_c 7.726
_cell_angle_alpha 90.00
_cell_angle_beta 90.00
_cell_angle_gamma 90.00
_space_group_name_H-M_alt 'I -4 m 2'
_space_group_IT_number 119
_space_group_name_Hall 'I -4 -2'
loop_
_atom_site_label
_atom_site_type_symbol
_atom_site_fract_x
_atom_site_fract_y
_atom_site_fract_z
_atom_site_occupancy
Tc1 Tc 0.000 0.000 0.000 1
Tc2 Tc 0.000 0.500 0.250 1
Ag1 Ag 0.000 0.500 0.750 1
P1 P 0.000 0.000 0.500 1